The following is a PBE-GGA calculation of a geometry-optimized ScP2Pb structure, from Alexandria via LeMat-Bulk.

Unit cell a=3.5192 b=3.5192 c=6.7052 alpha=90.00 beta=90.00 gamma=90.00
With the nearest neighbours (Å) after each atom.
Positions (direct):
1 Sc 0.0000 0.0000 0.0000  8 P 2.74
2 P 0.5000 0.5000 0.1709  1 P 2.29
3 P 0.5000 0.5000 0.8291  1 P 2.29
4 Pb 0.0000 0.0000 0.5000  8 P 3.33, 2 Sc 3.35, 4 Pb 3.52

Computed properties:
DOS(E_F) in states/eV/atom: 0.751
Energy of formation from the pure elements in eV per atom: -0.47
Energy in eV/atom: -5.6812